# 1
# BaCuSb2

A relaxed structure of BaCuSb2 (GGA-PBEsol, Alexandria via LeMat-Bulk).

The value obtained for the theoretical density is 6.20 g cm⁻³. As for the density of states at the Fermi level: 3.82 states/eV per cell. Its uncorrected formation energy is -0.350 eV per atom.

It has space group Cm (No. 8), with a = 10.650 Å, b = 4.129 Å, c = 5.754 Å, α = 90.00°, β = 109.83° and γ = 90.00°. The asymmetric unit holds Ba at (0.000, 0.000, 0.000), Cu at (0.294, 0.500, 0.439), Sb at (0.211, 0.000, 0.622) and Sb at (0.454, 0.000, 0.462).



# 2
# CuHgO2

A relaxed structure of CuHgO2 (GGA-PBEsol, Alexandria via LeMat-Bulk).

The value obtained for the theoretical density is 9.09 g cm⁻³. As for the density of states at the Fermi level: 3.48 states/eV per cell. Its uncorrected formation energy is -0.399 eV per atom.

It has space group C2/m (No. 12), with a = 6.762 Å, b = 2.945 Å, c = 6.303 Å, α = 90.00°, β = 120.50° and γ = 90.00°. The asymmetric unit holds Cu at (0.000, 0.000, 0.000), Hg at (0.000, 0.500, 0.500) and O at (0.079, 0.500, 0.223).